[1]
VASP calculation (PBE-GGA) on a geometry-optimized Nd2BeZnPt6 structure.

The space group is R-3m (No. 166, hexagonal axes) and the conventional cell measures 5.6961, 5.6961 and 20.2458 Å, with angles of 90.00, 90.00 and 120.00 degrees. The asymmetric unit holds Nd at (0.0000, 0.0000, 0.2110), Be at (0.0000, 0.0000, 0.0000), Zn at (0.0000, 0.0000, 0.5000) and Pt at (0.0106, 0.5053, 0.2652).

The value obtained for the calculated total energy is -0.43193 Ry per atom. The theoretical density comes out at 13.4 g cm⁻³.


[2]
VASP calculation (PBE-GGA) on a geometry-optimized Nd2Be4ZnPt3 structure.

The space group is P-4m2 (No. 115) and the conventional cell measures 4.086, 4.086 and 9.670 Å, with angles of 90.00, 90.00 and 90.00 degrees. The asymmetric unit holds Nd at (0.000, 0.500, 0.249), Be at (0.000, 0.000, 0.000), Be at (0.000, 0.500, 0.630), Be at (0.500, 0.500, 0.000), Zn at (0.000, 0.000, 0.500), Pt at (0.000, 0.500, 0.882) and Pt at (0.500, 0.500, 0.500).

The value obtained for the calculated total energy is -0.37139 Ry per atom. The theoretical density comes out at 10.0 g cm⁻³.


[3]
VASP calculation (PBE-GGA) on a geometry-optimized RbNdBeSe3 structure.

The space group is P2_1/m (No. 11) and the conventional cell measures 9.724, 4.139 and 9.727 Å, with angles of 90.00, 108.49 and 90.00 degrees. The asymmetric unit holds Rb at (0.233, 0.250, 0.198), Nd at (0.151, 0.250, 0.667), Be at (0.395, 0.750, 0.925), Se at (0.159, 0.750, 0.887), Se at (0.166, 0.750, 0.458) and Se at (0.473, 0.250, 0.838).

The theoretical density comes out at 4.3 g cm⁻³. The uncorrected formation energy is -1.37 eV/atom.


[4]
VASP calculation (PBE-GGA) on a geometry-optimized NdBeRe structure.

The space group is P-1 (No. 2) and the conventional cell measures 4.896, 5.520 and 5.572 Å, with angles of 119.61, 115.83 and 90.15 degrees. The asymmetric unit holds Nd at (0.111, 0.361, 0.222), Be at (0.500, 0.000, 0.000), Be at (0.500, 0.500, 0.000) and Re at (0.284, 0.035, 0.569).

The value obtained for the calculated total energy is -0.50342 Ry per atom. The theoretical density comes out at 10.0 g cm⁻³.


[5]
VASP calculation (PBE-GGA) on a geometry-optimized Nd2BeRh3 structure.

The space group is R-3m (No. 166, hexagonal axes) and the conventional cell measures 5.6305, 5.6305 and 11.6918 Å, with angles of 90.00, 90.00 and 120.00 degrees. The asymmetric unit holds Nd at (0.0000, 0.0000, 0.1305), Be at (0.0000, 0.0000, 0.5000) and Rh at (0.0000, 0.5000, 0.0000).

The value obtained for the calculated total energy is -0.47875 Ry per atom. The theoretical density comes out at 9.4 g cm⁻³.


[6]
VASP calculation (PBE-GGA) on a geometry-optimized Nd3Be2Rh5 structure.

The space group is P4/mbm (No. 127) and the conventional cell measures 10.012, 10.012 and 3.473 Å, with angles of 90.00, 90.00 and 90.00 degrees. The asymmetric unit holds Nd at (0.000, 0.000, 0.000), Nd at (0.176, 0.324, 0.000), Be at (0.118, 0.618, 0.000), Rh at (0.000, 0.500, 0.500) and Rh at (0.070, 0.772, 0.500).

The value obtained for the calculated total energy is -0.47980 Ry per atom. The theoretical density comes out at 9.2 g cm⁻³.